1.
A relaxed LiTh3 crystal. Source: Alexandria via LeMat-Bulk, functional PBE-GGA.

```
LiTh3
1.0
-1.784 5.591 2.930
1.784 -5.591 2.930
1.784 5.591 -2.930
Li Th
1 3
direct
0.000 0.000 0.000 Li
0.156 0.424 0.731 Th
0.480 0.980 0.500 Th
0.693 0.424 0.269 Th
```

Computed properties:
ΔE to the lowest computed polymorph   0.000 eV per atom
SG   Imm2 (44)


2.
A relaxed HfMn2GaC crystal. Source: Alexandria via LeMat-Bulk, functional PBE-GGA.

```
HfMn2GaC
1.0
3.885 0.000 0.000
0.000 3.885 0.000
0.000 0.000 4.462
Hf Mn Ga C
1 2 1 1
direct
0.000 0.000 0.000 Hf
0.000 0.500 0.500 Mn
0.500 0.000 0.500 Mn
0.500 0.500 0.002 Ga
0.000 0.000 0.500 C
```

Computed properties:
SG   P4mm (99)


We obtain total magnetic moment values of 0.00 3.65 μB/cell for the records listed above, in that order.
We obtain ΔH_f (0 K) values of 0.170 -0.188 eV per atom for the records listed above, in that order.